# Ac2AlPt3

Ac2AlPt3 after structural relaxation (PBE, the Alexandria database).

Computed properties:
- SG = Fmmm (69)
- calculated formation energy (eV per atom) = -1.0512
- M_tot (μB/atom) = 0.000
- calculated total energy (eV per atom) = -6.0648

a b c (Å): 8.971 8.800 6.206
angles (deg): 71.04 68.09 40.87
Atoms (fractional coordinates):
Ac  0.242  0.758  0.758
Ac  0.250  0.250  0.250
Ac  0.750  0.750  0.750
Ac  0.758  0.242  0.242
Al  0.333  0.333  0.667
Al  0.667  0.667  0.333
Pt  0.174  0.174  0.826
Pt  0.178  0.645  0.355
Pt  0.355  0.822  0.178
Pt  0.645  0.178  0.822
Pt  0.822  0.355  0.645
Pt  0.826  0.826  0.174